{"formula": "Sc2HgOs", "functional": "SCAN", "state": "PBEsol geometry", "cell": [[3.2331, 0.0000, 0.0000], [0.0000, 3.2331, 0.0000], [0.0000, 0.0000, 7.0420]], "species": ["Sc", "Sc", "Hg", "Os"], "fractional_positions": [[0.0000, 0.0000, 0.2167], [0.0000, 0.0000, 0.7833], [0.5000, 0.5000, 0.5000], [0.5000, 0.5000, 0.0000]], "delta_e_f_mev_per_atom": -694, "n_ef_per_ev_atom": 0.50}


{"formula": "Sc2HgTeOs", "functional": "SCAN", "state": "PBEsol geometry", "cell": [[5.1307, 0.0000, 0.0000], [0.0000, 5.1307, 0.0000], [0.0000, 0.0000, 5.2153]], "species": ["Sc", "Sc", "Hg", "Te", "Os"], "fractional_positions": [[0.0000, 0.5000, 0.0000], [0.5000, 0.0000, 0.0000], [0.0000, 0.0000, 0.0000], [0.0000, 0.0000, 0.5000], [0.5000, 0.5000, 0.5000]], "n_ef_per_ev_atom": 0.98, "formation_energy_uncorrected_ev_per_atom": 1.27}


{"formula": "HgOsSe2", "functional": "SCAN", "state": "PBEsol geometry", "cell": [[5.2044, 0.0000, 0.0000], [0.0000, 3.1933, 0.0000], [-2.1531, 0.0000, 5.0168]], "species": ["Hg", "Os", "Se", "Se"], "fractional_positions": [[0.0000, 0.0000, 0.0000], [0.0000, 0.0000, 0.5000], [0.3869, 0.5000, 0.6689], [0.6131, 0.5000, 0.3311]], "n_ef_per_ev_atom": 0.45, "formation_energy_uncorrected_ev_per_atom": 0.17}


{"formula": "HgOsSe2", "functional": "SCAN", "state": "PBEsol geometry", "cell": [[2.9465, 0.0000, 0.0000], [0.0000, 2.9465, 0.0000], [0.0000, 0.0000, 8.9383]], "species": ["Hg", "Os", "Se", "Se"], "fractional_positions": [[0.0000, 0.0000, 0.0000], [0.5000, 0.5000, 0.2368], [0.0000, 0.0000, 0.3893], [0.5000, 0.5000, 0.7179]], "n_ef_per_ev_atom": 0.21, "formation_energy_uncorrected_ev_per_atom": 0.40}


{"formula": "HgOsSe2", "functional": "SCAN", "state": "PBEsol geometry", "cell": [[10.5306, 0.0000, 0.0000], [0.0000, 3.0801, 0.0000], [-1.8053, 0.0000, 5.0082]], "species": ["Hg", "Hg", "Os", "Os", "Se", "Se", "Se", "Se"], "fractional_positions": [[0.0000, 0.0000, 0.0000], [0.5000, 0.5000, 0.0000], [0.2624, 0.0000, 0.9962], [0.7624, 0.5000, 0.9962], [0.1583, 0.5000, 0.6214], [0.3299, 0.5000, 0.3791], [0.6583, 0.0000, 0.6214], [0.8299, 0.0000, 0.3791]], "n_ef_per_ev_atom": 0.64, "formation_energy_uncorrected_ev_per_atom": 0.28}


{"formula": "HgOsSe2", "functional": "SCAN", "state": "PBEsol geometry", "cell": [[3.6189, 0.0000, 0.0000], [-1.8095, 3.1341, 0.0000], [0.0000, 0.0000, 22.9099]], "species": ["Hg", "Hg", "Hg", "Os", "Os", "Os", "Se", "Se", "Se", "Se", "Se", "Se"], "fractional_positions": [[0.0000, 0.0000, 0.0000], [0.3333, 0.6667, 0.6667], [0.6667, 0.3333, 0.3333], [0.0000, 0.0000, 0.5000], [0.3333, 0.6667, 0.1667], [0.6667, 0.3333, 0.8333], [0.0000, 0.0000, 0.2254], [0.0000, 0.0000, 0.7746], [0.3333, 0.6667, 0.4412], [0.3333, 0.6667, 0.8921], [0.6667, 0.3333, 0.1079], [0.6667, 0.3333, 0.5588]], "n_ef_per_ev_atom": 0.98, "formation_energy_uncorrected_ev_per_atom": 0.08}


{"formula": "Si2HgOs", "functional": "SCAN", "state": "PBEsol geometry", "cell": [[2.9710, 0.0000, 0.0000], [0.0000, 3.6422, 0.0000], [0.0000, 0.0000, 5.8728]], "species": ["Si", "Si", "Hg", "Os"], "fractional_positions": [[0.0000, 0.0000, 0.0000], [0.5000, 0.5000, 0.2721], [0.0000, 0.0000, 0.5279], [0.5000, 0.5000, 0.8747]], "n_ef_per_ev_atom": 0.38, "formation_energy_uncorrected_ev_per_atom": 0.40}


{"formula": "Si2HgOs", "functional": "SCAN", "state": "PBEsol geometry", "cell": [[5.7713, 0.0000, 0.0000], [0.0000, 5.7713, 0.0000], [0.0000, 0.0000, 10.5691]], "species": ["Si", "Si", "Si", "Si", "Si", "Si", "Si", "Si", "Hg", "Hg", "Hg", "Hg", "Os", "Os", "Os", "Os"], "fractional_positions": [[0.2009, 0.2500, 0.1250], [0.2500, 0.7009, 0.3750], [0.2500, 0.7991, 0.8750], [0.2991, 0.2500, 0.6250], [0.7009, 0.7500, 0.6250], [0.7500, 0.2009, 0.8750], [0.7500, 0.2991, 0.3750], [0.7991, 0.7500, 0.1250], [0.0000, 0.0000, 0.5000], [0.0000, 0.5000, 0.7500], [0.5000, 0.0000, 0.2500], [0.5000, 0.5000, 0.0000], [0.0000, 0.0000, 0.0000], [0.0000, 0.5000, 0.2500], [0.5000, 0.0000, 0.7500], [0.5000, 0.5000, 0.5000]], "n_ef_per_ev_atom": 0.56, "formation_energy_uncorrected_ev_per_atom": 0.50}


{"formula": "TiSiHgOs2", "functional": "SCAN", "state": "PBEsol geometry", "cell": [[4.8944, 0.0000, 0.0000], [0.0000, 4.8944, 0.0000], [0.0000, 0.0000, 4.4098]], "species": ["Ti", "Si", "Hg", "Os", "Os"], "fractional_positions": [[0.0000, 0.0000, 0.0000], [0.5000, 0.5000, 0.0000], [0.5000, 0.5000, 0.5000], [0.0000, 0.5000, 0.5000], [0.5000, 0.0000, 0.5000]], "n_ef_per_ev_atom": 0.98, "formation_energy_uncorrected_ev_per_atom": 2.44}


{"formula": "ZnSiHg2Os", "functional": "SCAN", "state": "PBEsol geometry", "cell": [[5.1093, 0.0000, 0.0000], [0.0000, 5.1093, 0.0000], [0.0000, 0.0000, 4.7093]], "species": ["Zn", "Si", "Hg", "Hg", "Os"], "fractional_positions": [[0.0000, 0.0000, 0.0000], [0.5000, 0.5000, 0.0000], [0.0000, 0.5000, 0.5000], [0.5000, 0.0000, 0.5000], [0.0000, 0.0000, 0.5000]], "n_ef_per_ev_atom": 0.62, "formation_energy_uncorrected_ev_per_atom": 1.24}